# Hf2SnSe

An optimized crystal structure of Hf2SnSe (PBE, Alexandria via LeMat-Bulk).

Summary:
**Calculated volume**: 83 Å³ per cell
**E_tot**: -7.204 eV per atom
**ΔE to the lowest computed polymorph**: 0 meV per atom

Geometry as extended XYZ:
```
4
Lattice="0.000 3.466 3.466 3.466 0.000 3.466 3.466 3.466 0.000" Properties=species:S:1:pos:R:3 pbc="T T T"
Hf 1.733 1.733 1.733
Hf 5.199 5.199 5.199
Sn 3.466 3.466 3.466
Se 0.000 0.000 0.000
```